# 1
## YNiAg (SCAN)

Data for YNiAg at its PBEsol-relaxed geometry.

Geometry as CIF:
```
data_YNiAg
_cell_length_a 6.4325
_cell_length_b 6.4325
_cell_length_c 6.4325
_cell_angle_alpha 90.00
_cell_angle_beta 90.00
_cell_angle_gamma 90.00
_symmetry_space_group_name_H-M 'F -4 3 m'
_symmetry_Int_Tables_number 216
_symmetry_space_group_name_Hall 'F -4 2 3'
loop_
_atom_site_label
_atom_site_type_symbol
_atom_site_fract_x
_atom_site_fract_y
_atom_site_fract_z
Y1 Y 0.0000 0.0000 0.0000
Ni1 Ni 0.2500 0.2500 0.7500
Ag1 Ag 0.2500 0.2500 0.2500
```

Crystal system: cubic
Energy (eV/atom): -24.7563
DFT formation energy (eV/atom): 0.3715
Total magnetization (μB per formula unit): 0.0
Volume (Å³/f.u.): 66.5
DOS at the Fermi energy (states/eV/f.u.): 1.0

=====

# 2
## Y2Ni2Ag (SCAN)

Data for Y2Ni2Ag at its PBEsol-relaxed geometry.

Geometry as CIF:
```
data_Y2Ni2Ag
_cell_length_a 7.1084
_cell_length_b 7.1084
_cell_length_c 3.6650
_cell_angle_alpha 90.00
_cell_angle_beta 90.00
_cell_angle_gamma 90.00
_symmetry_space_group_name_H-M 'P 4/m b m'
_symmetry_Int_Tables_number 127
_symmetry_space_group_name_Hall '-P 4 2ab'
loop_
_atom_site_label
_atom_site_type_symbol
_atom_site_fract_x
_atom_site_fract_y
_atom_site_fract_z
Y1 Y 0.1773 0.3227 0.0000
Ni1 Ni 0.1189 0.6189 0.5000
Ag1 Ag 0.0000 0.0000 0.5000
```

Crystal system: tetragonal
Energy (eV/atom): -24.2707
DFT formation energy (eV/atom): -0.3908
E above lowest polymorph (meV/atom): 0
Total magnetization (μB per formula unit): 0.0
Volume (Å³/f.u.): 92.6
DOS at the Fermi energy (states/eV/f.u.): 3.2

=====

- What is the total magnetization in the first record?
  0.0 μB per formula unit

=====

- The highest energy belongs to which entry?
  Y2Ni2Ag

=====

Repeat the second record exactly.
## Y2Ni2Ag (SCAN)

Data for Y2Ni2Ag at its PBEsol-relaxed geometry.

Geometry as CIF:
```
data_Y2Ni2Ag
_cell_length_a 7.1084
_cell_length_b 7.1084
_cell_length_c 3.6650
_cell_angle_alpha 90.00
_cell_angle_beta 90.00
_cell_angle_gamma 90.00
_symmetry_space_group_name_H-M 'P 4/m b m'
_symmetry_Int_Tables_number 127
_symmetry_space_group_name_Hall '-P 4 2ab'
loop_
_atom_site_label
_atom_site_type_symbol
_atom_site_fract_x
_atom_site_fract_y
_atom_site_fract_z
Y1 Y 0.1773 0.3227 0.0000
Ni1 Ni 0.1189 0.6189 0.5000
Ag1 Ag 0.0000 0.0000 0.5000
```

Crystal system: tetragonal
Energy (eV/atom): -24.2707
DFT formation energy (eV/atom): -0.3908
E above lowest polymorph (meV/atom): 0
Total magnetization (μB per formula unit): 0.0
Volume (Å³/f.u.): 92.6
DOS at the Fermi energy (states/eV/f.u.): 3.2